(1)
An optimized crystal structure of ErZrHg6. Source: Alexandria via LeMat-Bulk, functional PBE-GGA.

Properties
Formation energy in eV per atom: -0.16
Fermi-level density of states in states/eV/f.u.: 6.83
Total magnetic moment in μB per formula unit: 0.0

Unit cell a=4.665 b=4.665 c=8.481 alpha=90.00 beta=90.00 gamma=90.00
Space group P4/mmm (No. 123)
Inequivalent atoms, fractional coordinates:
1 Er 0.000 0.000 0.000 x1
2 Zr 0.000 0.000 0.500 x1
3 Hg 0.000 0.500 0.257 x4
4 Hg 0.500 0.500 0.000 x1
5 Hg 0.500 0.500 0.500 x1



(2)
An optimized crystal structure of Er2ZrHg. Source: Alexandria via LeMat-Bulk, functional PBE-GGA.

Properties
Formation energy in eV per atom: -0.09
Fermi-level density of states in states/eV/f.u.: 5.73
Total magnetic moment in μB per formula unit: 0.0

Unit cell a=4.698 b=4.698 c=4.537 alpha=90.00 beta=90.00 gamma=90.00
Space group P4/mmm (No. 123)
Inequivalent atoms, fractional coordinates:
1 Er 0.000 0.500 0.000 x2
2 Zr 0.000 0.000 0.500 x1
3 Hg 0.500 0.500 0.500 x1